Material: SiNiNO2
Method: DFT, GGA+U
State: optimized geometry

Its crystal system is tetragonal. The calculation puts the energy at -4.659 eV/atom. As for the density of states at the Fermi level: 0.49 states/eV per atom. The value obtained for the total magnetization is 0.3 Bohr magnetons per cell.

Unit cell a=3.644 b=3.644 c=3.791 alpha=90.00 beta=90.00 gamma=90.00
Space group P4/mmm (No. 123)
Inequivalent atoms, fractional coordinates:
Si  0.000  0.000  0.000 x1
Ni  0.500  0.500  0.500 x1
N  0.500  0.500  0.000 x1
O  0.000  0.500  0.500 x2